The following is a DFT calculation (PBE) of PmLuZnAg after structural relaxation.

The calculation puts the calculated total energy at -3.65 eV per atom. The calculation puts the density at 8.65 g cm⁻³. For the formation energy, the calculation gives -0.305 eV per atom.

It has space group F-43m (No. 216), with a = 7.2357 Å, b = 7.2357 Å, c = 7.2357 Å, α = 90.00°, β = 90.00° and γ = 90.00°. The inequivalent atoms are Pm at (0.0000, 0.0000, 0.0000), Lu at (0.0000, 0.0000, 0.5000), Zn at (0.2500, 0.2500, 0.2500) and Ag at (0.2500, 0.2500, 0.7500).